Here is a geometry-optimized GaSN2F structure from Alexandria. Energies are from GGA-PBE.

abc: 3.9881 3.9881 3.7151
angles: 90.00 90.00 90.00
Last column: nearest neighbours and their distance in Å.
Fractional coordinates of all 5 atoms:
Ga1 0.0000 0.0000 0.0000  2 F 1.86, 4 N 1.99
S1 0.5000 0.5000 0.5000  8 N 2.73, 4 F 2.82
N1 0.0000 0.5000 0.0000  2 Ga 1.99
N2 0.5000 0.0000 0.0000  2 Ga 1.99
F1 0.0000 0.0000 0.5000  2 Ga 1.86

* total magnetic moment: 0.0 μB per cell
* total DFT energy (no corrections): -4.241 eV per atom
* formation energy without anion corrections: 86.3 kJ/mol of atoms
* energy relative to the lowest polymorph listed for this composition: 195 meV/atom

Here is a geometry-optimized GaS2NF structure from Alexandria. Energies are from GGA-PBE.

abc: 4.9438 4.9438 3.6750
angles: 90.00 90.00 90.00
Last column: nearest neighbours and their distance in Å.
Fractional coordinates of all 5 atoms:
Ga1 0.0000 0.0000 0.0000  2 N 1.84
S1 0.0000 0.5000 0.0000  2 Ga 2.47
S2 0.5000 0.0000 0.0000  2 Ga 2.47
N1 0.0000 0.0000 0.5000  2 Ga 1.84
F1 0.5000 0.5000 0.5000  8 S 3.08

* total magnetic moment: 3.2 μB per cell
* total DFT energy (no corrections): -3.350 eV per atom
* formation energy without anion corrections: 91.2 kJ/mol of atoms
* energy relative to the lowest polymorph listed for this composition: 0 meV/atom

Here is a geometry-optimized GaS2NF structure from Alexandria. Energies are from GGA-PBE.

abc: 4.5185 4.5185 4.0709
angles: 90.00 90.00 90.00
Last column: nearest neighbours and their distance in Å.
Fractional coordinates of all 5 atoms:
Ga1 0.0000 0.0000 0.0000  8 S 3.04, 4 N 3.20
S1 0.0000 0.5000 0.5000  2 F 2.26
S2 0.5000 0.0000 0.5000  2 F 2.26
N1 0.5000 0.5000 0.0000  2 F 2.04
F1 0.5000 0.5000 0.5000  2 N 2.04, 4 S 2.26

* total magnetic moment: 2.2 μB per cell
* total DFT energy (no corrections): -2.930 eV per atom
* formation energy without anion corrections: 131.7 kJ/mol of atoms
* energy relative to the lowest polymorph listed for this composition: 420 meV/atom

Here is a geometry-optimized GaSN2F structure from Alexandria. Energies are from GGA-PBE.

abc: 3.4027 3.4027 6.2078
angles: 90.00 90.00 90.00
Last column: nearest neighbours and their distance in Å.
Fractional coordinates of all 5 atoms:
Ga1 0.0000 0.0000 0.0000  4 F 2.41
S1 0.5000 0.5000 0.5000  4 N 1.70
N1 0.0000 0.5000 0.5000  2 S 1.70
N2 0.5000 0.0000 0.5000  2 S 1.70
F1 0.5000 0.5000 0.0000  4 Ga 2.41

* total magnetic moment: 0.0 μB per cell
* total DFT energy (no corrections): -4.436 eV per atom
* formation energy without anion corrections: 67.5 kJ/mol of atoms
* energy relative to the lowest polymorph listed for this composition: 0 meV/atom

Here is a geometry-optimized GaSN2F structure from Alexandria. Energies are from GGA-PBE.

abc: 3.6798 3.6798 5.9512
angles: 90.00 90.00 90.00
Last column: nearest neighbours and their distance in Å.
Fractional coordinates of all 5 atoms:
Ga1 0.0000 0.0000 0.0000  4 S 2.60
S1 0.5000 0.5000 0.0000  4 Ga 2.60
N1 0.0000 0.5000 0.5000  2 F 1.84
N2 0.5000 0.0000 0.5000  2 F 1.84
F1 0.5000 0.5000 0.5000  4 N 1.84

* total magnetic moment: 3.6 μB per cell
* total DFT energy (no corrections): -3.217 eV per atom
* formation energy without anion corrections: 185.1 kJ/mol of atoms
* energy relative to the lowest polymorph listed for this composition: 1219 meV/atom

Here is a geometry-optimized GaSN2F structure from Alexandria. Energies are from GGA-PBE.

abc: 3.8630 3.8630 5.2239
angles: 90.00 90.00 90.00
Last column: nearest neighbours and their distance in Å.
Fractional coordinates of all 5 atoms:
Ga1 0.0000 0.0000 0.0000  4 N 1.93
S1 0.0000 0.0000 0.5000  2 Ga 2.61, 4 F 2.73
N1 0.0000 0.5000 0.0000  2 Ga 1.93
N2 0.5000 0.0000 0.0000  2 Ga 1.93
F1 0.5000 0.5000 0.5000  4 S 2.73

* total magnetic moment: 4.7 μB per cell
* total DFT energy (no corrections): -3.784 eV per atom
* formation energy without anion corrections: 130.3 kJ/mol of atoms
* energy relative to the lowest polymorph listed for this composition: 651 meV/atom

Here is a geometry-optimized GaSbNF2 structure from Alexandria. Energies are from GGA-PBE.

abc: 4.1542 4.1542 4.1382
angles: 90.00 90.00 90.00
Last column: nearest neighbours and their distance in Å.
Fractional coordinates of all 5 atoms:
Ga1 0.0000 0.0000 0.0000  2 N 2.07
Sb1 0.5000 0.5000 0.0000  8 F 2.93, 4 Ga 2.94
N1 0.0000 0.0000 0.5000  2 Ga 2.07, 4 F 2.08
F1 0.0000 0.5000 0.5000  2 N 2.08
F2 0.5000 0.0000 0.5000  2 N 2.08

* total magnetic moment: 0.0 μB per cell
* total DFT energy (no corrections): -3.657 eV per atom
* formation energy without anion corrections: 18.0 kJ/mol of atoms
* energy relative to the lowest polymorph listed for this composition: 919 meV/atom

Here is a geometry-optimized GaSbNF2 structure from Alexandria. Energies are from GGA-PBE.

abc: 4.5604 4.5604 4.0603
angles: 90.00 90.00 90.00
Last column: nearest neighbours and their distance in Å.
Fractional coordinates of all 5 atoms:
Ga1 0.0000 0.0000 0.0000  8 F 3.05, 4 N 3.22
Sb1 0.5000 0.5000 0.5000  2 N 2.03
N1 0.5000 0.5000 0.0000  2 Sb 2.03
F1 0.0000 0.5000 0.5000  2 Sb 2.28
F2 0.5000 0.0000 0.5000  2 Sb 2.28

* total magnetic moment: 0.0 μB per cell
* total DFT energy (no corrections): -4.549 eV per atom
* formation energy without anion corrections: -68.1 kJ/mol of atoms
* energy relative to the lowest polymorph listed for this composition: 27 meV/atom

Here is a geometry-optimized GaSbNF2 structure from Alexandria. Energies are from GGA-PBE.

abc: 4.1652 4.1652 3.7946
angles: 90.00 90.00 90.00
Last column: nearest neighbours and their distance in Å.
Fractional coordinates of all 5 atoms:
Ga1 0.0000 0.0000 0.0000  2 N 1.90, 4 F 2.08
Sb1 0.5000 0.5000 0.5000  8 F 2.82, 4 N 2.95
N1 0.0000 0.0000 0.5000  2 Ga 1.90
F1 0.0000 0.5000 0.0000  2 Ga 2.08
F2 0.5000 0.0000 0.0000  2 Ga 2.08

* total magnetic moment: 0.0 μB per cell
* total DFT energy (no corrections): -4.576 eV per atom
* formation energy without anion corrections: -70.7 kJ/mol of atoms
* energy relative to the lowest polymorph listed for this composition: 0 meV/atom

Here is a geometry-optimized GaSeNF2 structure from Alexandria. Energies are from GGA-PBE.

abc: 3.8207 3.8207 4.2768
angles: 90.00 90.00 90.00
Last column: nearest neighbours and their distance in Å.
Fractional coordinates of all 5 atoms:
Ga1 0.0000 0.0000 0.0000  4 F 1.91, 2 N 2.14
Se1 0.5000 0.5000 0.5000  4 N 2.70, 8 F 2.87
N1 0.0000 0.0000 0.5000  2 Ga 2.14
F1 0.0000 0.5000 0.0000  2 Ga 1.91
F2 0.5000 0.0000 0.0000  2 Ga 1.91

* total magnetic moment: 0.7 μB per cell
* total DFT energy (no corrections): -4.173 eV per atom
* formation energy without anion corrections: -44.1 kJ/mol of atoms
* energy relative to the lowest polymorph listed for this composition: 0 meV/atom

Here is a geometry-optimized GaSeNF2 structure from Alexandria. Energies are from GGA-PBE.

abc: 4.6327 4.6327 3.6736
angles: 90.00 90.00 90.00
Last column: nearest neighbours and their distance in Å.
Fractional coordinates of all 5 atoms:
Ga1 0.0000 0.0000 0.0000  8 F 2.96, 4 N 3.28
Se1 0.5000 0.5000 0.5000  2 N 1.84
N1 0.5000 0.5000 0.0000  2 Se 1.84
F1 0.0000 0.5000 0.5000  2 Se 2.32
F2 0.5000 0.0000 0.5000  2 Se 2.32

* total magnetic moment: 0.0 μB per cell
* total DFT energy (no corrections): -4.010 eV per atom
* formation energy without anion corrections: -28.4 kJ/mol of atoms
* energy relative to the lowest polymorph listed for this composition: 163 meV/atom

Here is a geometry-optimized GaSiN2F structure from Alexandria. Energies are from GGA-PBE.

abc: 3.9123 3.9123 3.8545
angles: 90.00 90.00 90.00
Last column: nearest neighbours and their distance in Å.
Fractional coordinates of all 5 atoms:
Ga1 0.0000 0.0000 0.0000  2 F 1.93, 4 N 1.96
Si1 0.5000 0.5000 0.5000  8 N 2.75, 4 F 2.77
N1 0.0000 0.5000 0.0000  2 Ga 1.96
N2 0.5000 0.0000 0.0000  2 Ga 1.96
F1 0.0000 0.0000 0.5000  2 Ga 1.93

* total magnetic moment: 1.0 μB per cell
* total DFT energy (no corrections): -4.840 eV per atom
* formation energy without anion corrections: 53.5 kJ/mol of atoms
* energy relative to the lowest polymorph listed for this composition: 855 meV/atom

Here is a geometry-optimized GaSiN2F structure from Alexandria. Energies are from GGA-PBE.

abc: 3.6848 3.6848 3.5498
angles: 90.00 90.00 90.00
Last column: nearest neighbours and their distance in Å.
Fractional coordinates of all 5 atoms:
Ga1 0.0000 0.0000 0.0000  8 N 2.56, 4 F 2.61
Si1 0.5000 0.5000 0.5000  2 F 1.77, 4 N 1.84
N1 0.0000 0.5000 0.5000  2 Si 1.84
N2 0.5000 0.0000 0.5000  2 Si 1.84
F1 0.5000 0.5000 0.0000  2 Si 1.77

* total magnetic moment: 0.0 μB per cell
* total DFT energy (no corrections): -5.695 eV per atom
* formation energy without anion corrections: -29.0 kJ/mol of atoms
* energy relative to the lowest polymorph listed for this composition: 0 meV/atom

Here is a geometry-optimized SrGaN2F structure from Alexandria. Energies are from GGA-PBE.

abc: 5.0647 5.0647 4.6195
angles: 90.00 90.00 90.00
Last column: nearest neighbours and their distance in Å.
Fractional coordinates of all 5 atoms:
Sr1 0.0000 0.0000 0.0000  2 F 2.31, 4 N 2.53
Ga1 0.5000 0.5000 0.5000  8 N 3.43, 4 F 3.58
N1 0.0000 0.5000 0.0000  2 Sr 2.53
N2 0.5000 0.0000 0.0000  2 Sr 2.53
F1 0.0000 0.0000 0.5000  2 Sr 2.31

* total magnetic moment: 4.0 μB per cell
* total DFT energy (no corrections): -4.216 eV per atom
* formation energy without anion corrections: 41.5 kJ/mol of atoms
* energy relative to the lowest polymorph listed for this composition: 1158 meV/atom